#P
A geometry-optimized Co2CuBr structure. Source: Alexandria via LeMat-Bulk, functional PBE-GGA.

Cell: 3.152 3.152 5.992 Å, 90.00 90.00 90.00°
Space group P4/mmm (No. 123)
Unique sites:
Co: 0.000 0.000 0.193
Cu: 0.500 0.500 0.000
Br: 0.500 0.500 0.500

Results
Total magnetization, μB/f.u.: 3.88
Density, g cm⁻³: 7.29

---

#Q
A geometry-optimized Co2CuBr structure. Source: Alexandria via LeMat-Bulk, functional PBE-GGA.

Cell: 3.773 3.773 7.766 Å, 90.00 90.00 90.00°
Space group I-4m2 (No. 119)
Unique sites:
Co: 0.000 0.000 0.000
Co: 0.000 0.500 0.250
Cu: 0.000 0.500 0.750
Br: 0.000 0.000 0.500

Results
Total magnetization, μB/f.u.: 3.46
Density, g cm⁻³: 7.85

---

Verdict on stability: #P comes out on top.

---

#P
A geometry-optimized Co2CuBr structure. Source: Alexandria via LeMat-Bulk, functional PBE-GGA.

Cell: 8.109 3.078 6.868 Å, 90.00 121.85 90.00°
Space group C2/m (No. 12)
Unique sites:
Co: 0.154 0.000 0.359
Cu: 0.000 0.500 0.500
Br: 0.000 0.500 0.000

Results
Total magnetization, μB/f.u.: 3.76
Density, g cm⁻³: 5.96

---

#Q
A geometry-optimized Co2CuBr structure. Source: Alexandria via LeMat-Bulk, functional PBE-GGA.

Cell: 3.136 3.216 6.335 Å, 90.00 90.00 90.00°
Space group Pmmm (No. 47)
Unique sites:
Co: 0.000 0.000 0.179
Cu: 0.500 0.500 0.000
Br: 0.500 0.000 0.500

Results
Total magnetization, μB/f.u.: 3.91
Density, g cm⁻³: 6.79

---

#R
A geometry-optimized Co2CuBr structure. Source: Alexandria via LeMat-Bulk, functional PBE-GGA.

Cell: 2.9895 2.9895 22.4122 Å, 90.00 90.00 120.00°
Space group R-3m (No. 166, hexagonal axes)
Unique sites:
Co: 0.0000 0.0000 0.2473
Cu: 0.0000 0.0000 0.5000
Br: 0.0000 0.0000 0.0000

Results
Total magnetization, μB/f.u.: 3.38
Density, g cm⁻³: 7.50

---

#S
A geometry-optimized Co2CuBr structure. Source: Alexandria via LeMat-Bulk, functional PBE-GGA.

Cell: 3.094 3.902 11.036 Å, 90.00 90.00 90.00°
Space group Imm2 (No. 44)
Unique sites:
Co: 0.000 0.000 0.000
Co: 0.000 0.500 0.347
Cu: 0.000 0.500 0.871
Br: 0.000 0.000 0.649

Results
Total magnetization, μB/f.u.: 3.82
Density, g cm⁻³: 6.51

---

Verdict on stability: #Q comes out on top.